VASP calculation (PBE-GGA) on ZrTaCoIr after structural relaxation.

a b c (Å): 6.410 6.410 6.410
angles (deg): 90.00 90.00 90.00
Space group F-43m (No. 216)
Asymmetric unit:
Zr: 0.000 0.000 0.000 [4 per cell]
Ta: 0.000 0.000 0.500 [4 per cell]
Co: 0.250 0.250 0.250 [4 per cell]
Ir: 0.250 0.250 0.750 [4 per cell]

Summary:
E_form ... -0.354 eV/atom
Energy ... -9.45 eV per atom